CsNiPb PBE-GGA optimized geometry; formation enthalpy at 0 K = 29.3 kJ/mol of atoms; symmetry = P-1
1.0
3.935 0.000 0.000
0.002 6.011 0.000
1.967 2.986 8.183
Cs Ni Pb
2 2 2
Direct
0.149 0.399 0.202
0.851 0.601 0.798
0.286 0.036 0.929
0.714 0.964 0.071
0.443 0.194 0.612
0.557 0.806 0.388

CsNi2Pb2 PBE-GGA optimized geometry; energy above the lowest structure with this stoichiometry = 0.247 eV per atom; formation enthalpy at 0 K = 34.1 kJ/mol of atoms; symmetry = P4/mbm
1.0
8.843 0.000 0.000
0.000 8.843 0.000
0.000 0.000 3.439
Cs Ni Pb
2 4 4
Direct
0.000 0.000 0.000
0.500 0.500 0.000
0.104 0.396 0.000
0.396 0.896 0.000
0.604 0.104 0.000
0.896 0.604 0.000
0.137 0.637 0.500
0.363 0.137 0.500
0.637 0.863 0.500
0.863 0.363 0.500

CsNi2Pb2 PBE-GGA optimized geometry; energy above the lowest structure with this stoichiometry = 0.239 eV per atom; formation enthalpy at 0 K = 33.3 kJ/mol of atoms; symmetry = I4/mmm
1.0
4.863 0.000 0.000
0.000 4.863 0.000
0.000 0.000 11.057
Cs Ni Pb
2 4 4
Direct
0.000 0.000 0.000
0.500 0.500 0.500
0.000 0.000 0.384
0.000 0.000 0.616
0.500 0.500 0.116
0.500 0.500 0.884
0.000 0.500 0.250
0.000 0.500 0.750
0.500 0.000 0.250
0.500 0.000 0.750

CsNi2Pb2 PBE-GGA optimized geometry; energy above the lowest structure with this stoichiometry = 0.000 eV per atom; formation enthalpy at 0 K = 10.2 kJ/mol of atoms; symmetry = I4/mmm
1.0
3.775 0.000 0.000
0.000 3.775 0.000
0.000 0.000 18.803
Cs Ni Pb
2 4 4
Direct
0.000 0.000 0.000
0.500 0.500 0.500
0.000 0.500 0.250
0.000 0.500 0.750
0.500 0.000 0.250
0.500 0.000 0.750
0.000 0.000 0.349
0.000 0.000 0.651
0.500 0.500 0.151
0.500 0.500 0.849

CsNiPb3 PBE-GGA optimized geometry; energy above the lowest structure with this stoichiometry = 0.000 eV per atom; formation enthalpy at 0 K = 15.8 kJ/mol of atoms; symmetry = Pm-3m
1.0
5.426 0.000 0.000
0.000 5.426 0.000
0.000 0.000 5.426
Cs Ni Pb
1 1 3
Direct
0.000 0.000 0.000
0.500 0.500 0.500
0.000 0.500 0.500
0.500 0.000 0.500
0.500 0.500 0.000

Cs3NiPb PBE-GGA optimized geometry; formation enthalpy at 0 K = 51.3 kJ/mol of atoms; symmetry = Pm-3m
1.0
6.218 0.000 0.000
0.000 6.218 0.000
0.000 0.000 6.218
Cs Ni Pb
3 1 1
Direct
0.000 0.000 0.500
0.000 0.500 0.000
0.500 0.000 0.000
0.000 0.000 0.000
0.500 0.500 0.500

Cs2NiPdPb PBE-GGA optimized geometry; formation enthalpy at 0 K = 48.0 kJ/mol of atoms; symmetry = P4/mmm
1.0
6.259 0.000 0.000
0.000 6.259 0.000
0.000 0.000 5.025
Cs Ni Pd Pb
2 1 1 1
Direct
0.000 0.500 0.000
0.500 0.000 0.000
0.000 0.000 0.000
0.500 0.500 0.500
0.000 0.000 0.500

CsTl2NiPb PBE-GGA optimized geometry; formation enthalpy at 0 K = 10.6 kJ/mol of atoms; symmetry = P4/mmm
1.0
5.420 0.000 0.000
0.000 5.420 0.000
0.000 0.000 5.358
Cs Tl Ni Pb
1 2 1 1
Direct
0.000 0.000 0.000
0.000 0.500 0.500
0.500 0.000 0.500
0.500 0.500 0.500
0.500 0.500 0.000

CsNiPd3 PBE-GGA optimized geometry; energy above the lowest structure with this stoichiometry = 1.340 eV per atom; formation enthalpy at 0 K = 179.5 kJ/mol of atoms; symmetry = Pm-3m
1.0
5.227 0.000 0.000
0.000 5.227 0.000
0.000 0.000 5.227
Cs Ni Pd
1 1 3
Direct
0.000 0.000 0.000
0.500 0.500 0.500
0.000 0.000 0.500
0.000 0.500 0.000
0.500 0.000 0.000

CsNiPd3 PBE-GGA optimized geometry; energy above the lowest structure with this stoichiometry = 0.000 eV per atom; formation enthalpy at 0 K = 50.2 kJ/mol of atoms; symmetry = Pm-3m
1.0
4.835 0.000 0.000
0.000 4.835 0.000
0.000 0.000 4.835
Cs Ni Pd
1 1 3
Direct
0.000 0.000 0.000
0.500 0.500 0.500
0.000 0.500 0.500
0.500 0.000 0.500
0.500 0.500 0.000

Cs2NiPd2 PBE-GGA optimized geometry; formation enthalpy at 0 K = 39.1 kJ/mol of atoms; symmetry = P4/mbm
1.0
6.826 0.000 0.000
0.000 6.826 0.000
0.000 0.000 5.753
Cs Ni Pd
4 2 4
Direct
0.185 0.315 0.000
0.315 0.815 0.000
0.685 0.185 0.000
0.815 0.685 0.000
0.000 0.000 0.500
0.500 0.500 0.500
0.143 0.643 0.500
0.357 0.143 0.500
0.643 0.857 0.500
0.857 0.357 0.500

CsNi3Pd PBE-GGA optimized geometry; energy above the lowest structure with this stoichiometry = 1.049 eV per atom; formation enthalpy at 0 K = 198.8 kJ/mol of atoms; symmetry = Pm-3m
1.0
4.709 0.000 0.000
0.000 4.709 0.000
0.000 0.000 4.709
Cs Ni Pd
1 3 1
Direct
0.000 0.000 0.000
0.000 0.000 0.500
0.000 0.500 0.000
0.500 0.000 0.000
0.500 0.500 0.500

Cs2NiPd PBE-GGA optimized geometry; energy above the lowest structure with this stoichiometry = 0.415 eV per atom; formation enthalpy at 0 K = 83.3 kJ/mol of atoms; symmetry = Fm-3m
1.0
7.939 0.000 0.000
0.000 7.939 0.000
0.000 0.000 7.939
Cs Ni Pd
8 4 4
Direct
0.250 0.250 0.250
0.250 0.250 0.750
0.250 0.750 0.250
0.250 0.750 0.750
0.750 0.250 0.250
0.750 0.250 0.750
0.750 0.750 0.250
0.750 0.750 0.750
0.000 0.000 0.000
0.000 0.500 0.500
0.500 0.000 0.500
0.500 0.500 0.000
0.000 0.000 0.500
0.000 0.500 0.000
0.500 0.000 0.000
0.500 0.500 0.500

CsNi3Pd PBE-GGA optimized geometry; energy above the lowest structure with this stoichiometry = 0.000 eV per atom; formation enthalpy at 0 K = 97.6 kJ/mol of atoms; symmetry = Pm-3m
1.0
4.817 0.000 0.000
0.000 4.817 0.000
0.000 0.000 4.817
Cs Ni Pd
1 3 1
Direct
0.000 0.000 0.000
0.000 0.500 0.500
0.500 0.000 0.500
0.500 0.500 0.000
0.500 0.500 0.500

Cs2NiPd PBE-GGA optimized geometry; energy above the lowest structure with this stoichiometry = 0.000 eV per atom; formation enthalpy at 0 K = 43.2 kJ/mol of atoms; symmetry = I-42d
1.0
12.684 0.000 0.000
0.000 12.684 0.000
0.000 0.000 4.817
Cs Ni Pd
8 4 4
Direct
0.069 0.250 0.125
0.250 0.569 0.375
0.250 0.931 0.875
0.431 0.250 0.625
0.569 0.750 0.625
0.750 0.069 0.875
0.750 0.431 0.375
0.931 0.750 0.125
0.000 0.000 0.500
0.000 0.500 0.750
0.500 0.000 0.250
0.500 0.500 0.000
0.000 0.000 0.000
0.000 0.500 0.250
0.500 0.000 0.750
0.500 0.500 0.500

CsSr2NiPd PBE-GGA optimized geometry; formation enthalpy at 0 K = 111.2 kJ/mol of atoms; symmetry = P4/mmm
1.0
6.256 0.000 0.000
0.000 6.256 0.000
0.000 0.000 4.664
Cs Sr Ni Pd
1 2 1 1
Direct
0.000 0.000 0.000
0.000 0.500 0.000
0.500 0.000 0.000
0.000 0.000 0.500
0.500 0.500 0.500

CsNiTe6Pd PBE-GGA optimized geometry; uncorrected energy = -3.65 eV/atom; symmetry = Imma
1.0
-4.446 4.868 6.875
4.446 -4.868 6.875
4.446 4.868 -6.875
Cs Ni Te Pd
2 2 12 2
Direct
0.385 0.135 0.250
0.615 0.865 0.750
0.000 0.000 0.500
0.000 0.500 0.000
0.092 0.412 0.235
0.092 0.856 0.679
0.106 0.856 0.250
0.323 0.144 0.735
0.323 0.588 0.179
0.338 0.588 0.750
0.662 0.412 0.250
0.677 0.412 0.821
0.677 0.856 0.265
0.894 0.144 0.750
0.908 0.144 0.321
0.908 0.588 0.765
0.000 0.500 0.500
0.500 0.500 0.000

CsY2NiPd PBE-GGA optimized geometry; formation enthalpy at 0 K = 61.2 kJ/mol of atoms; symmetry = P4/mmm
1.0
5.403 0.000 0.000
0.000 5.403 0.000
0.000 0.000 6.276
Cs Y Ni Pd
1 2 1 1
Direct
0.000 0.000 0.000
0.000 0.500 0.500
0.500 0.000 0.500
0.500 0.500 0.000
0.000 0.000 0.500

CsPm2Ni PBE-GGA optimized geometry; formation enthalpy at 0 K = 8.4 kJ/mol of atoms; symmetry = R-3m
1.0
4.148 0.000 0.000
-2.074 3.592 0.000
0.000 0.000 33.232
Cs Pm Ni
3 6 3
Direct
0.000 0.000 0.000
0.333 0.667 0.667
0.667 0.333 0.333
0.000 0.000 0.124
0.000 0.000 0.876
0.333 0.667 0.542
0.333 0.667 0.791
0.667 0.333 0.209
0.667 0.333 0.458
0.000 0.000 0.500
0.333 0.667 0.167
0.667 0.333 0.833

Cs3NiPt PBE-GGA optimized geometry; energy above the lowest structure with this stoichiometry = 0.000 eV per atom; formation enthalpy at 0 K = 50.0 kJ/mol of atoms; symmetry = Pm-3m
1.0
6.621 0.000 0.000
0.000 6.621 0.000
0.000 0.000 6.621
Cs Ni Pt
3 1 1
Direct
0.000 0.000 0.500
0.000 0.500 0.000
0.500 0.000 0.000
0.500 0.500 0.500
0.000 0.000 0.000

CsNiPt3 PBE-GGA optimized geometry; formation enthalpy at 0 K = 237.0 kJ/mol of atoms; symmetry = Pm-3m
1.0
5.171 0.000 0.000
0.000 5.171 0.000
0.000 0.000 5.171
Cs Ni Pt
1 1 3
Direct
0.000 0.000 0.000
0.500 0.500 0.500
0.000 0.000 0.500
0.000 0.500 0.000
0.500 0.000 0.000

CsNi3Pt PBE-GGA optimized geometry; formation enthalpy at 0 K = 207.9 kJ/mol of atoms; symmetry = Pm-3m
1.0
4.664 0.000 0.000
0.000 4.664 0.000
0.000 0.000 4.664
Cs Ni Pt
1 3 1
Direct
0.000 0.000 0.000
0.000 0.000 0.500
0.000 0.500 0.000
0.500 0.000 0.000
0.500 0.500 0.500

Cs2NiPtS4 PBE-GGA optimized geometry; uncorrected energy = -4.33 eV/atom; symmetry = Fddd
1.0
0.000 6.848 12.046
2.939 0.000 12.046
2.939 6.848 0.000
Cs Ni Pt S
4 2 2 8
Direct
0.054 0.054 0.696
0.304 0.304 0.946
0.696 0.696 0.054
0.946 0.946 0.304
0.375 0.375 0.375
0.625 0.625 0.625
0.125 0.125 0.125
0.875 0.875 0.875
0.003 0.646 0.573
0.278 0.573 0.646
0.354 0.997 0.722
0.427 0.722 0.997
0.573 0.278 0.003
0.646 0.003 0.278
0.722 0.427 0.354
0.997 0.354 0.427

Cs2NiPtSe4 PBE-GGA optimized geometry; uncorrected energy = -4.00 eV/atom; symmetry = Fddd
1.0
0.000 7.029 12.138
3.054 0.000 12.138
3.054 7.029 0.000
Cs Ni Pt Se
4 2 2 8
Direct
0.058 0.058 0.692
0.308 0.308 0.942
0.692 0.692 0.058
0.942 0.942 0.308
0.375 0.375 0.375
0.625 0.625 0.625
0.125 0.125 0.125
0.875 0.875 0.875
0.001 0.360 0.424
0.285 0.576 0.640
0.360 0.001 0.715
0.424 0.715 0.001
0.576 0.285 0.999
0.640 0.999 0.285
0.715 0.424 0.360
0.999 0.640 0.576

CsSr2NiPt PBE-GGA optimized geometry; formation enthalpy at 0 K = 8.5 kJ/mol of atoms; symmetry = P4/mmm
1.0
5.701 0.000 0.000
0.000 5.701 0.000
0.000 0.000 5.018
Cs Sr Ni Pt
1 2 1 1
Direct
0.000 0.000 0.000
0.000 0.500 0.500
0.500 0.000 0.500
0.500 0.500 0.500
0.500 0.500 0.000

Theoretical density list, top to bottom, in g/cm3: 6.8; 8.2; 8.4; 8.2; 8.5; 4.6; 5.4; 8.5; 5.9; 7.5; 6.7; 6.6; 5.7; 6.2; 3.7; 4.3; 5.9; 4.3; 4.8; 3.7; 9.3; 8.3; 4.4; 5.3; 5.7